No. 1
DFT (GGA-PBE) results for UHgPt2 after structural relaxation.

Total energy in eV per atom: -6.2837
Formation energy in eV per atom: -0.37

Cell: 3.9137 3.9137 7.1824 Å, 74.19 74.19 60.00°
With the nearest neighbours (Å) after each atom.
Sites, in units of the cell vectors:
U 0.0000 0.0000 0.0000  6 Pt 2.77
Pt 0.2547 0.2547 0.2359  3 U 2.77, 3 Hg 2.89
Pt 0.7453 0.7453 0.7641  3 U 2.77, 3 Hg 2.89
Hg 0.5000 0.5000 0.5000  6 Pt 2.89

***

No. 2
DFT (GGA-PBE) results for Al2Ag after structural relaxation.

Total energy in eV per atom: -3.4715
Formation energy in eV per atom: -0.03

Cell: 7.6373 5.6948 5.0073 Å, 90.00 90.91 111.89°
With the nearest neighbours (Å) after each atom.
Sites, in units of the cell vectors:
Al 0.9974 0.7566 0.5106  5 Ag 2.80-2.89, 7 Al 2.86-3.01
Al 0.3359 0.6601 0.6561  5 Ag 2.80-2.89, 7 Al 2.86-3.01
Al 0.6655 0.3369 0.3361  3 Ag 2.83-2.89, 9 Al 2.85-2.93
Al 0.6679 0.0798 0.8306  3 Ag 2.83-2.89, 9 Al 2.85-2.93
Al 0.9974 0.4909 0.0106  5 Ag 2.80-2.89, 7 Al 2.86-3.01
Al 0.6655 0.5786 0.8361  3 Ag 2.83-2.89, 9 Al 2.85-2.93
Al 0.3359 0.9258 0.1561  5 Ag 2.80-2.89, 7 Al 2.86-3.01
Al 0.6679 0.8381 0.3306  3 Ag 2.83-2.89, 9 Al 2.85-2.93
Ag 0.3372 0.4344 0.1566  8 Al 2.80-2.89, 4 Ag 2.97-3.02
Ag 0.9961 0.2639 0.5101  8 Al 2.80-2.89, 4 Ag 2.97-3.02
Ag 0.3372 0.1528 0.6566  8 Al 2.80-2.89, 4 Ag 2.97-3.02
Ag 0.9961 0.9822 0.0101  8 Al 2.80-2.89, 4 Ag 2.97-3.02

***

No. 3
DFT (GGA-PBE) results for Cd3InHg5 after structural relaxation.

Total energy in eV per atom: -0.7116
Formation energy in eV per atom: 0.07

Cell: 8.8402 8.8402 10.6834 Å, 53.21 53.21 71.70°
With the nearest neighbours (Å) after each atom.
Sites, in units of the cell vectors:
In 0.1760 0.1760 0.5880  4 Cd 3.05-3.28, 6 Hg 3.09-3.36
In 0.8240 0.8240 0.4120  4 Cd 3.05-3.28, 6 Hg 3.09-3.36
Hg 0.1523 0.1523 0.0962  4 Cd 2.97-3.08, 1 In 3.17
Hg 0.5909 0.0894 0.5597  3 Cd 2.95-3.21, 1 In 3.12
Hg 0.9106 0.4091 0.4403  3 Cd 2.95-3.21, 1 In 3.12
Hg 0.4091 0.9106 0.4403  3 Cd 2.95-3.21, 1 In 3.12
Hg 0.2714 0.7286 0.0000  3 Cd 2.81-2.99
Hg 0.5053 0.5053 0.7572  3 Cd 2.94-3.18, 1 In 3.09
Hg 0.4947 0.4947 0.2428  3 Cd 2.94-3.18, 1 In 3.09
Hg 0.7286 0.2714 0.0000  3 Cd 2.81-2.99
Hg 0.0894 0.5909 0.5597  3 Cd 2.95-3.21, 1 In 3.12
Hg 0.8477 0.8477 0.9038  4 Cd 2.97-3.08, 1 In 3.17
Cd 0.3119 0.3119 0.1761  7 Hg 2.97-3.21, 1 Cd 3.02, 1 In 3.24
Cd 0.3402 0.3402 0.6898  4 Hg 2.94-2.97, 1 Cd 3.16, 1 In 3.24
Cd 0.6881 0.6881 0.8239  7 Hg 2.97-3.21, 1 Cd 3.02, 1 In 3.24
Cd 0.6598 0.6598 0.3102  4 Hg 2.94-2.97, 1 Cd 3.16, 1 In 3.24
Cd 0.0000 0.0000 0.5000  2 Cd 3.02, 6 Hg 3.08-3.19, 2 In 3.28
Cd 0.0000 0.0000 0.0000  4 Hg 2.81-3.02, 2 In 3.05

***

No. 4
DFT (GGA-PBE) results for Ni2As4Pt after structural relaxation.

Total energy in eV per atom: -4.7773
Formation energy in eV per atom: 0.39

Cell: 4.8905 4.8905 6.8029 Å, 68.93 68.93 90.00°
With the nearest neighbours (Å) after each atom.
Sites, in units of the cell vectors:
As 0.7839 0.7839 0.4322  1 Ni 2.17
As 0.5000 0.0000 0.0000  2 Pt 2.45, 4 Ni 2.71
As 0.2161 0.2161 0.5678  1 Ni 2.17
As 0.0000 0.5000 0.0000  2 Pt 2.45, 4 Ni 2.71
Ni 0.4011 0.4011 0.1977  1 As 2.17, 1 Ni 2.32
Ni 0.5989 0.5989 0.8023  1 As 2.17, 1 Ni 2.32
Pt 0.0000 0.0000 0.0000  6 As 2.45-2.53

***

No. 5
DFT (GGA-PBE) results for LiMnNiRh after structural relaxation.

Total energy in eV per atom: -6.1334
Formation energy in eV per atom: -0.08

Cell: 4.1232 4.1232 4.1232 Å, 60.00 60.00 60.00°
With the nearest neighbours (Å) after each atom.
Sites, in units of the cell vectors:
Li 0.5000 0.5000 0.5000  4 Ni 2.52, 4 Rh 2.52
Rh 0.7500 0.7500 0.7500  4 Mn 2.52, 4 Li 2.52
Ni 0.2500 0.2500 0.2500  4 Mn 2.52, 4 Li 2.52
Mn 0.0000 0.0000 0.0000  4 Ni 2.52, 4 Rh 2.52

***

No. 6
DFT (GGA-PBE) results for Sc2Tl2Bi after structural relaxation.

Total energy in eV per atom: -4.4977
Formation energy in eV per atom: -0.24

Cell: 7.6540 7.6540 4.5612 Å, 90.00 90.00 90.00°
With the nearest neighbours (Å) after each atom.
Sites, in units of the cell vectors:
Tl 0.3517 0.1483 0.5000  6 Sc 3.11-3.26, 1 Tl 3.21
Tl 0.1483 0.6483 0.5000  6 Sc 3.11-3.26, 1 Tl 3.21
Tl 0.8517 0.3517 0.5000  6 Sc 3.11-3.26, 1 Tl 3.21
Tl 0.6483 0.8517 0.5000  6 Sc 3.11-3.26, 1 Tl 3.21
Bi 0.5000 0.5000 0.0000  4 Sc 2.89
Bi 0.0000 0.0000 0.0000  4 Sc 2.89
Sc 0.8439 0.6561 0.0000  2 Bi 2.89, 2 Tl 3.11
Sc 0.3439 0.8439 0.0000  2 Bi 2.89, 2 Tl 3.11
Sc 0.6561 0.1561 0.0000  2 Bi 2.89, 2 Tl 3.11
Sc 0.1561 0.3439 0.0000  2 Bi 2.89, 2 Tl 3.11

***

No. 7
DFT (GGA-PBE) results for Rb3Tl after structural relaxation.

Total energy in eV per atom: -1.2552
Formation energy in eV per atom: 0.06

Cell: 6.9233 6.9233 6.9233 Å, 60.00 60.00 60.00°
With the nearest neighbours (Å) after each atom.
Sites, in units of the cell vectors:
Rb 0.7500 0.7500 0.7500  4 Rb 4.24, 4 Tl 4.24
Rb 0.5000 0.5000 0.5000  8 Rb 4.24
Rb 0.2500 0.2500 0.2500  4 Tl 4.24, 4 Rb 4.24
Tl 0.0000 0.0000 0.0000  8 Rb 4.24

***

No. 8
DFT (GGA-PBE) results for ThMgAlGe2 after structural relaxation.

Total energy in eV per atom: -4.7393
Formation energy in eV per atom: -0.34

Cell: 4.3051 5.9756 9.3048 Å, 84.88 76.62 68.89°
With the nearest neighbours (Å) after each atom.
Sites, in units of the cell vectors:
Ge 0.5204 0.3453 0.6139  2 Al 2.52, 1 Ge 2.68
Ge 0.4796 0.6547 0.3861  2 Al 2.52, 1 Ge 2.68
Ge 0.8640 0.1707 0.1012  1 Al 2.56, 1 Ge 2.65, 3 Mg 2.75-2.86
Ge 0.1360 0.8293 0.8988  1 Al 2.56, 1 Ge 2.65, 3 Mg 2.75-2.86
Mg 0.6274 0.6807 0.0645  4 Ge 2.75-2.91, 2 Al 2.98
Mg 0.3726 0.3193 0.9355  4 Ge 2.75-2.91, 2 Al 2.98
Al 0.0436 0.1901 0.7227  3 Ge 2.52-2.56
Al 0.9564 0.8099 0.2773  3 Ge 2.52-2.56
Th 0.2100 0.2294 0.3506  7 Ge 3.14-3.28, 4 Al 3.25-3.37
Th 0.7900 0.7706 0.6494  7 Ge 3.14-3.28, 4 Al 3.25-3.37

***

Question: What is the formation energy in the eighth record?
Answer: -0.34 eV per atom

***

Question: Which of these has the lowest formation energy?
Answer: UHgPt2

***

Question: Number 3 is which compound?
Answer: Cd3InHg5